1.
ZrOsRh: optimized geometry, PBE-GGA.

abc: 4.344 4.344 4.344
angles: 60.00 60.00 60.00
Fractional coordinates of all 3 atoms:
Zr (0.000, 0.000, 0.000)
Rh (0.750, 0.750, 0.750)
Os (0.500, 0.500, 0.500)

* space group: F-43m (216)
* density: 11011 kg/m3
* offset from the most stable computed form: 0.406 eV/atom

---

2.
ZrOsRh2: optimized geometry, PBE-GGA.

abc: 3.911 2.841 6.368
angles: 63.41 90.00 90.00
Fractional coordinates of all 4 atoms:
Rh (0.000, 0.481, 0.519)
Rh (0.000, 0.019, 0.981)
Os (0.500, 0.750, 0.750)
Zr (0.500, 0.250, 0.250)

* space group: P2/m (10)
* density: 12790 kg/m3
* offset from the most stable computed form: 0.134 eV/atom

---

3.
Zr2OsRh2: optimized geometry, PBE-GGA.

abc: 6.976 6.976 3.640
angles: 90.00 90.00 90.00
Fractional coordinates of all 10 atoms:
Zr (0.680, 0.820, 0.500)
Os (0.500, 0.500, 0.000)
Rh (0.629, 0.129, 0.000)
Rh (0.371, 0.871, 0.000)
Rh (0.129, 0.371, 0.000)
Zr (0.820, 0.320, 0.500)
Rh (0.871, 0.629, 0.000)
Zr (0.320, 0.180, 0.500)
Zr (0.180, 0.680, 0.500)
Os (0.000, 0.000, 0.000)

* space group: P4/mbm (127)
* density: 10847 kg/m3
* offset from the most stable computed form: 0.000 eV/atom

---

4.
ZrOsRh2: optimized geometry, PBE-GGA.

abc: 3.994 3.995 3.937
angles: 90.00 90.00 90.00
Fractional coordinates of all 4 atoms:
Os (0.000, 0.500, 0.500)
Rh (0.500, 0.500, 0.000)
Rh (0.000, 0.000, 0.000)
Zr (0.500, 0.000, 0.500)

* space group: P4/mmm (123)
* density: 12881 kg/m3
* offset from the most stable computed form: 0.000 eV/atom

---

5.
Os7Ru6: optimized geometry, PBE-GGA.

abc: 9.315 9.315 9.315
angles: 31.42 31.42 31.42
Fractional coordinates of all 13 atoms:
Os (0.500, 0.500, 0.500)
Os (0.589, 0.082, 0.589)
Ru (0.046, 0.046, 0.046)
Os (0.411, 0.411, 0.918)
Ru (0.954, 0.954, 0.954)
Ru (0.662, 0.662, 0.662)
Os (0.411, 0.918, 0.411)
Ru (0.150, 0.150, 0.150)
Ru (0.850, 0.850, 0.850)
Os (0.589, 0.589, 0.082)
Os (0.918, 0.411, 0.411)
Os (0.082, 0.589, 0.589)
Ru (0.338, 0.338, 0.338)

* calculated total energy: -9.884 eV/atom
* space group: R-3m (166)
* density: 16503 kg/m3

---

6.
Os3Ru: optimized geometry, PBE-GGA.

abc: 2.678 5.109 5.109
angles: 62.99 79.94 100.06
Fractional coordinates of all 4 atoms:
Os (0.000, 0.000, 0.000)
Ru (0.000, 0.500, 0.500)
Os (0.500, 0.000, 0.500)
Os (0.500, 0.500, 0.000)

* calculated total energy: -9.937 eV/atom
* space group: R-3m (166)
* density: 19008 kg/m3

---

7.
Os5Ru: optimized geometry, PBE-GGA.

abc: 5.070 5.070 5.070
angles: 60.00 60.00 60.00
Fractional coordinates of all 6 atoms:
Os (0.750, 0.750, 0.750)
Os (0.375, 0.876, 0.375)
Os (0.375, 0.375, 0.876)
Ru (0.000, 0.000, 0.000)
Os (0.375, 0.375, 0.375)
Os (0.876, 0.375, 0.375)

* space group: F-43m (216)
* density: 18960 kg/m3
* offset from the most stable computed form: 0.875 eV/atom

---

8.
Os3Ru: optimized geometry, PBE-GGA.

abc: 5.461 4.730 13.233
angles: 90.00 90.00 90.00
Fractional coordinates of all 24 atoms:
Ru (0.250, 0.000, 0.250)
Os (0.750, 0.668, 0.587)
Os (0.250, 0.001, 0.750)
Os (0.750, 0.999, 0.250)
Os (0.000, 0.501, 0.750)
Ru (0.750, 0.000, 0.750)
Os (0.000, 0.167, 0.587)
Ru (0.250, 0.665, 0.587)
Os (0.500, 0.833, 0.413)
Os (0.000, 0.833, 0.413)
Os (0.000, 0.499, 0.250)
Os (0.500, 0.499, 0.250)
Os (0.750, 0.668, 0.913)
Os (0.000, 0.167, 0.913)
Os (0.500, 0.833, 0.087)
Os (0.500, 0.501, 0.750)
Os (0.500, 0.167, 0.913)
Ru (0.750, 0.335, 0.087)
Ru (0.250, 0.665, 0.913)
Os (0.250, 0.332, 0.413)
Os (0.000, 0.833, 0.087)
Ru (0.750, 0.335, 0.413)
Os (0.500, 0.167, 0.587)
Os (0.250, 0.332, 0.087)

* calculated total energy: -10.666 eV/atom
* space group: Pmmn (59)
* density: 19580 kg/m3

---

9.
Os3Ru: optimized geometry, PBE-GGA.

abc: 3.843 6.083 2.728
angles: 63.34 90.00 90.00
Fractional coordinates of all 4 atoms:
Os (0.000, 0.000, 0.000)
Ru (0.500, 0.750, 0.750)
Os (0.500, 0.250, 0.250)
Os (0.000, 0.500, 0.500)

* calculated total energy: -10.606 eV/atom
* space group: Pmmm (47)
* density: 19575 kg/m3

---

10.
Os3Ru: optimized geometry, PBE-GGA.

abc: 5.486 4.344 4.759
angles: 90.00 90.00 90.00
Fractional coordinates of all 8 atoms:
Os (0.000, 0.500, 0.332)
Ru (0.500, 0.500, 0.335)
Ru (0.000, 0.000, 0.665)
Os (0.750, 0.500, 0.835)
Os (0.250, 0.500, 0.835)
Os (0.750, 0.000, 0.165)
Os (0.250, 0.000, 0.165)
Os (0.500, 0.000, 0.668)

* calculated total energy: -10.745 eV/atom
* space group: Pmmn (59)
* density: 19671 kg/m3

---

11.
Os3Ru: optimized geometry, PBE-GGA.

abc: 2.742 4.342 4.763
angles: 90.00 90.00 90.00
Fractional coordinates of all 4 atoms:
Os (0.500, 0.000, 0.500)
Ru (0.000, 0.500, 0.334)
Os (0.000, 0.000, 0.001)
Os (0.500, 0.500, 0.831)

* calculated total energy: -10.746 eV/atom
* space group: Pmm2 (25)
* density: 19673 kg/m3

---

12.
Os5Ru4: optimized geometry, PBE-GGA.

abc: 7.459 7.459 5.398
angles: 90.00 90.00 120.00
Fractional coordinates of all 18 atoms:
Os (0.667, 0.333, 0.000)
Ru (0.333, 0.000, 0.250)
Os (0.000, 0.334, 0.750)
Ru (0.000, 0.000, 0.000)
Os (0.667, 0.333, 0.500)
Ru (0.000, 0.000, 0.500)
Os (0.333, 0.667, 0.000)
Os (0.334, 0.000, 0.750)
Os (0.333, 0.667, 0.500)
Ru (0.667, 0.667, 0.250)
Ru (0.333, 0.333, 0.750)
Ru (0.000, 0.667, 0.750)
Os (0.334, 0.334, 0.250)
Os (0.000, 0.666, 0.250)
Ru (0.000, 0.333, 0.250)
Os (0.666, 0.000, 0.250)
Ru (0.667, 0.000, 0.750)
Os (0.666, 0.666, 0.750)

* space group: P6_3/mcm (193)
* density: 17311 kg/m3
* offset from the most stable computed form: 0.187 eV/atom